A plane-wave DFT calculation with SCAN was carried out for a crystal of SiNi2P relaxed with PBEsol.

a b c (Å): 4.904 13.627 5.793
angles (deg): 90.00 90.00 90.00
Space group Pbca (No. 61)
Unique sites:
Si (0.183, 0.059, 0.081) (multiplicity 8)
Ni (0.013, 0.066, 0.698) (multiplicity 8)
Ni (0.013, 0.678, 0.199) (multiplicity 8)
P (0.184, 0.682, 0.564) (multiplicity 8)

* energy relative to the elements, uncorrected: -0.467 eV per atom
* distance to the lowest polymorph of the same formula: 0.0000 eV per atom